A relaxed Pr2HoHf crystal, computed with GGA-PBE.

extended XYZ file:
```
4
Lattice="4.0693 0.0000 0.0000 0.0000 4.0693 0.0000 0.0000 0.0000 7.3798" Properties=species:S:1:pos:R:3 pbc="T T T"
Pr 0.0000 0.0000 1.6604
Pr 0.0000 0.0000 5.7194
Ho 2.0346 2.0346 3.6899
Hf 2.0346 2.0346 0.0000
```

Values from the calculation:
mass density = 8.5 g/cm³
energy of formation from the pure elements = 220 meV/atom
DOS at the Fermi energy = 4.54 states/eV/f.u.
space group = P4/mmm, No. 123